(P)
Compound: Ta4BeGa
Source: OQMD
Functional: PBE
Structure: optimized geometry

Geometry as POSCAR:
```
Ta4BeGa
1.0
-3.1045 3.1045 2.4877
3.1045 -3.1045 2.4877
3.1045 3.1045 -2.4877
Ta Be Ga
4 1 1
direct
0.0917 0.5917 0.1835 Ta
0.4083 0.9083 0.8165 Ta
0.5917 0.4083 0.5000 Ta
0.9083 0.0917 0.5000 Ta
0.5000 0.5000 0.0000 Be
0.0000 0.0000 0.0000 Ga
```

The density comes out at 13.90 Mg/m³. As for the space-group type: No. 97.

=====

(Q)
Compound: Ta4BeGa
Source: OQMD
Functional: PBE
Structure: optimized geometry

Geometry as POSCAR:
```
Ta4BeGa
1.0
6.1645 0.0000 0.0000
0.0000 6.1645 0.0000
0.0000 0.0000 5.0326
Ta Be Ga
8 2 2
direct
0.1427 0.3252 0.0000 Ta
0.1427 0.6748 0.5000 Ta
0.3252 0.1427 0.5000 Ta
0.3252 0.8573 0.0000 Ta
0.6748 0.1427 0.0000 Ta
0.6748 0.8573 0.5000 Ta
0.8573 0.3252 0.5000 Ta
0.8573 0.6748 0.0000 Ta
0.0000 0.0000 0.2500 Be
0.0000 0.0000 0.7500 Be
0.5000 0.5000 0.2500 Ga
0.5000 0.5000 0.7500 Ga
```

The density comes out at 13.94 Mg/m³. As for the space-group type: No. 124.

=====

Least stable of them? (P).

=====

(P)
Compound: TbBeGa
Source: OQMD
Functional: PBE
Structure: optimized geometry

Geometry as POSCAR:
```
TbBeGa
1.0
0.0000 3.0626 3.0626
3.0626 0.0000 3.0626
3.0626 3.0626 0.0000
Tb Be Ga
1 1 1
direct
0.0000 0.0000 0.0000 Tb
0.7500 0.7500 0.7500 Be
0.5000 0.5000 0.5000 Ga
```

The density comes out at 6.87 Mg/m³. As for the space-group type: No. 216.

=====

(Q)
Compound: TbBeGa
Source: OQMD
Functional: PBE
Structure: optimized geometry

Geometry as POSCAR:
```
TbBeGa
1.0
0.0000 3.1414 3.1414
3.1414 0.0000 3.1414
3.1414 3.1414 0.0000
Tb Be Ga
1 1 1
direct
0.0000 0.0000 0.0000 Tb
0.5000 0.5000 0.5000 Be
0.7500 0.7500 0.7500 Ga
```

The density comes out at 6.36 Mg/m³. As for the space-group type: No. 216.

=====

Least stable of them? (Q).

=====

(P)
Compound: BeGaTcTe
Source: OQMD
Functional: PBE
Structure: optimized geometry

Geometry as POSCAR:
```
BeGaTcTe
1.0
0.0000 3.1787 3.1787
3.1787 0.0000 3.1787
3.1787 3.1787 0.0000
Be Ga Tc Te
1 1 1 1
direct
0.0000 0.0000 0.0000 Be
0.7500 0.7500 0.7500 Ga
0.5000 0.5000 0.5000 Tc
0.2500 0.2500 0.2500 Te
```

The density comes out at 7.87 Mg/m³. As for the space-group type: No. 216.

=====

(Q)
Compound: BeGaTcTe
Source: OQMD
Functional: PBE
Structure: optimized geometry

Geometry as POSCAR:
```
BeGaTcTe
1.0
0.0000 3.2033 3.2033
3.2033 0.0000 3.2033
3.2033 3.2033 0.0000
Be Ga Tc Te
1 1 1 1
direct
0.0000 0.0000 0.0000 Be
0.5000 0.5000 0.5000 Ga
0.7500 0.7500 0.7500 Tc
0.2500 0.2500 0.2500 Te
```

The density comes out at 7.69 Mg/m³. As for the space-group type: No. 216.

=====

Least stable of them? (Q).

=====

(P)
Compound: Gd2Be
Source: OQMD
Functional: PBE
Structure: optimized geometry

Geometry as POSCAR:
```
Gd2Be
1.0
0.0000 3.4035 3.4035
3.4035 0.0000 3.4035
3.4035 3.4035 0.0000
Gd Be
2 1
direct
0.2500 0.2500 0.2500 Gd
0.7500 0.7500 0.7500 Gd
0.0000 0.0000 0.0000 Be
```

The density comes out at 6.81 Mg/m³. As for the space-group type: No. 225.

=====

(Q)
Compound: Gd2Be
Source: OQMD
Functional: PBE
Structure: optimized geometry

Geometry as POSCAR:
```
Gd2Be
1.0
0.0000 4.3309 4.3309
4.3309 0.0000 4.3309
4.3309 4.3309 0.0000
Gd Be
4 2
direct
0.0000 0.0000 0.0000 Gd
0.0000 0.0000 0.5000 Gd
0.0000 0.5000 0.0000 Gd
0.5000 0.0000 0.0000 Gd
0.3750 0.3750 0.3750 Be
0.6250 0.6250 0.6250 Be
```

The density comes out at 6.61 Mg/m³. As for the space-group type: No. 227.

=====

Least stable of them? (Q).

=====

(P)
Compound: GdBeNO
Source: OQMD
Functional: PBE
Structure: optimized geometry

Geometry as POSCAR:
```
GdBeNO
1.0
3.3418 0.0000 0.0000
0.0000 5.1898 0.0000
0.0000 0.0000 5.0361
Gd Be N O
2 2 2 2
direct
0.0000 0.2356 0.0000 Gd
0.0000 0.7644 0.5000 Gd
0.5000 0.2119 0.4988 Be
0.5000 0.7881 0.9988 Be
0.0000 0.3301 0.4947 N
0.0000 0.6699 0.9947 N
0.5000 0.0042 0.7515 O
0.5000 0.9958 0.2515 O
```

The density comes out at 7.46 Mg/m³. As for the space-group type: No. 26.

=====

(Q)
Compound: GdBeNO
Source: OQMD
Functional: PBE
Structure: optimized geometry

Geometry as POSCAR:
```
GdBeNO
1.0
5.0855 0.0000 0.0000
0.0000 6.9435 0.0000
0.0000 0.0000 4.8468
Gd Be N O
4 4 4 4
direct
0.0171 0.1742 0.0000 Gd
0.4829 0.1742 0.5000 Gd
0.5171 0.8258 0.0000 Gd
0.9829 0.8258 0.5000 Gd
0.0734 0.5936 0.9993 Be
0.4266 0.5936 0.4993 Be
0.5734 0.4064 0.9993 Be
0.9266 0.4064 0.4993 Be
0.0081 0.8397 0.0039 N
0.4919 0.8397 0.5039 N
0.5081 0.1603 0.0039 N
0.9919 0.1603 0.5039 N
0.1445 0.5311 0.6699 O
0.3555 0.5311 0.1699 O
0.6445 0.4689 0.6699 O
0.8555 0.4689 0.1699 O
```

The density comes out at 7.62 Mg/m³. As for the space-group type: No. 29.

=====

Least stable of them? (P).

=====

(P)
Compound: GdBeNO
Source: OQMD
Functional: PBE
Structure: optimized geometry

Geometry as POSCAR:
```
GdBeNO
1.0
3.5029 0.0000 0.0000
0.0000 3.5029 0.0000
0.0000 0.0000 7.3281
Gd Be N O
2 2 2 2
direct
0.2500 0.2500 0.1759 Gd
0.7500 0.7500 0.8241 Gd
0.2500 0.7500 0.5000 Be
0.7500 0.2500 0.5000 Be
0.2500 0.2500 0.5921 N
0.7500 0.7500 0.4079 N
0.2500 0.7500 0.0000 O
0.7500 0.2500 0.0000 O
```

The density comes out at 7.25 Mg/m³. As for the space-group type: No. 129.

=====

(Q)
Compound: GdBeNO
Source: OQMD
Functional: PBE
Structure: optimized geometry

Geometry as POSCAR:
```
GdBeNO
1.0
3.2336 0.0000 0.0000
0.0000 5.2519 0.0000
0.0000 0.0000 5.3174
Gd Be N O
2 2 2 2
direct
0.0000 0.2198 0.0000 Gd
0.0000 0.7802 0.5000 Gd
0.5000 0.1955 0.5225 Be
0.5000 0.8045 0.0225 Be
0.5000 0.0264 0.2569 N
0.5000 0.9736 0.7569 N
0.0000 0.3528 0.5552 O
0.0000 0.6472 0.0552 O
```

The density comes out at 7.22 Mg/m³. As for the space-group type: No. 26.

=====

(R)
Compound: GdBeNO
Source: OQMD
Functional: PBE
Structure: optimized geometry

Geometry as POSCAR:
```
GdBeNO
1.0
5.3877 0.0000 0.0000
0.0000 6.4477 0.0000
0.0000 0.0000 4.9242
Gd Be N O
4 4 4 4
direct
0.0477 0.2166 0.0000 Gd
0.4523 0.2166 0.5000 Gd
0.5477 0.7834 0.0000 Gd
0.9523 0.7834 0.5000 Gd
0.0818 0.5991 0.0172 Be
0.4182 0.5991 0.5172 Be
0.5818 0.4009 0.0172 Be
0.9182 0.4009 0.5172 Be
0.1564 0.5177 0.6986 N
0.3436 0.5177 0.1986 N
0.6564 0.4823 0.6986 N
0.8436 0.4823 0.1986 N
0.0115 0.1456 0.5093 O
0.4885 0.1456 0.0093 O
0.5115 0.8544 0.5093 O
0.9885 0.8544 0.0093 O
```

The density comes out at 7.62 Mg/m³. As for the space-group type: No. 29.

=====

(S)
Compound: GdBeNO
Source: OQMD
Functional: PBE
Structure: optimized geometry

Geometry as POSCAR:
```
GdBeNO
1.0
4.5809 0.0000 0.0000
0.0000 4.5809 0.0000
0.0000 0.0000 4.6902
Gd Be N O
2 2 2 2
direct
0.2500 0.7500 0.0000 Gd
0.7500 0.2500 0.0000 Gd
0.2500 0.2500 0.4200 Be
0.7500 0.7500 0.5800 Be
0.2500 0.2500 0.0862 N
0.7500 0.7500 0.9138 N
0.2500 0.7500 0.5000 O
0.7500 0.2500 0.5000 O
```

The density comes out at 6.62 Mg/m³. As for the space-group type: No. 129.

=====

Least stable of them? (S).

=====

(P)
Compound: Gd2Be2O5
Source: OQMD
Functional: PBE
Structure: optimized geometry

Geometry as POSCAR:
```
Gd2Be2O5
1.0
3.7991 0.0000 0.0000
0.0000 3.7991 0.0000
0.0000 0.0000 8.7628
Gd Be O
2 2 5
direct
0.0000 0.0000 0.2404 Gd
0.0000 0.0000 0.7596 Gd
0.5000 0.5000 0.0000 Be
0.5000 0.5000 0.5000 Be
0.0000 0.0000 0.5000 O
0.0000 0.5000 0.1261 O
0.0000 0.5000 0.8739 O
0.5000 0.0000 0.1261 O
0.5000 0.0000 0.8739 O
```

The density comes out at 5.42 Mg/m³. As for the space-group type: No. 123.

=====

(Q)
Compound: Gd2Be2O5
Source: OQMD
Functional: PBE
Structure: optimized geometry

Geometry as POSCAR:
```
Gd2Be2O5
1.0
3.5972 0.0000 0.0000
0.0000 3.5972 0.0000
0.0000 0.0000 6.7833
Gd Be O
2 2 5
direct
0.0000 0.0000 0.0000 Gd
0.0000 0.0000 0.5000 Gd
0.5000 0.5000 0.2318 Be
0.5000 0.5000 0.7682 Be
0.0000 0.5000 0.2774 O
0.0000 0.5000 0.7226 O
0.5000 0.0000 0.2774 O
0.5000 0.0000 0.7226 O
0.5000 0.5000 0.0000 O
```

The density comes out at 7.80 Mg/m³. As for the space-group type: No. 123.

=====

Least stable of them? (P).

=====

(P)
Compound: GdBeOs
Source: OQMD
Functional: PBE
Structure: optimized geometry

Geometry as POSCAR:
```
GdBeOs
1.0
0.0000 2.9880 2.9880
2.9880 0.0000 2.9880
2.9880 2.9880 0.0000
Gd Be Os
1 1 1
direct
0.0000 0.0000 0.0000 Gd
0.2500 0.2500 0.2500 Be
0.5000 0.5000 0.5000 Os
```

The density comes out at 11.09 Mg/m³. As for the space-group type: No. 216.

=====

(Q)
Compound: GdBeOs
Source: OQMD
Functional: PBE
Structure: optimized geometry

Geometry as POSCAR:
```
GdBeOs
1.0
0.0000 3.1067 3.1067
3.1067 0.0000 3.1067
3.1067 3.1067 0.0000
Gd Be Os
1 1 1
direct
0.0000 0.0000 0.0000 Gd
0.5000 0.5000 0.5000 Be
0.7500 0.7500 0.7500 Os
```

The density comes out at 9.87 Mg/m³. As for the space-group type: No. 216.

=====

Least stable of them? (Q).

=====

(P)
Compound: GdBePd
Source: OQMD
Functional: PBE
Structure: optimized geometry

Geometry as POSCAR:
```
GdBePd
1.0
0.0000 3.1658 3.1658
3.1658 0.0000 3.1658
3.1658 3.1658 0.0000
Gd Be Pd
1 1 1
direct
0.0000 0.0000 0.0000 Gd
0.5000 0.5000 0.5000 Be
0.7500 0.7500 0.7500 Pd
```

The density comes out at 7.14 Mg/m³. As for the space-group type: No. 216.

=====

(Q)
Compound: GdBePd
Source: OQMD
Functional: PBE
Structure: optimized geometry

Geometry as POSCAR:
```
GdBePd
1.0
0.0000 3.0638 3.0638
3.0638 0.0000 3.0638
3.0638 3.0638 0.0000
Gd Be Pd
1 1 1
direct
0.0000 0.0000 0.0000 Gd
0.2500 0.2500 0.2500 Be
0.5000 0.5000 0.5000 Pd
```

The density comes out at 7.87 Mg/m³. As for the space-group type: No. 216.

=====

Least stable of them? (Q).

=====

(P)
Compound: BeHgGePt
Source: OQMD
Functional: PBE
Structure: optimized geometry

Geometry as POSCAR:
```
BeHgGePt
1.0
0.0000 3.1885 3.1885
3.1885 0.0000 3.1885
3.1885 3.1885 0.0000
Be Hg Ge Pt
1 1 1 1
direct
0.0000 0.0000 0.0000 Be
0.7500 0.7500 0.7500 Hg
0.5000 0.5000 0.5000 Ge
0.2500 0.2500 0.2500 Pt
```

The density comes out at 12.23 Mg/m³. As for the space-group type: No. 216.

=====

(Q)
Compound: BeHgGePt
Source: OQMD
Functional: PBE
Structure: optimized geometry

Geometry as POSCAR:
```
BeHgGePt
1.0
0.0000 3.2168 3.2168
3.2168 0.0000 3.2168
3.2168 3.2168 0.0000
Be Hg Ge Pt
1 1 1 1
direct
0.0000 0.0000 0.0000 Be
0.7500 0.7500 0.7500 Hg
0.2500 0.2500 0.2500 Ge
0.5000 0.5000 0.5000 Pt
```

The density comes out at 11.91 Mg/m³. As for the space-group type: No. 216.

=====

Least stable of them? (Q).

=====

(P)
Compound: LuBeGeIr
Source: OQMD
Functional: PBE
Structure: optimized geometry

Geometry as POSCAR:
```
LuBeGeIr
1.0
0.0000 3.1544 3.1544
3.1544 0.0000 3.1544
3.1544 3.1544 0.0000
Lu Be Ge Ir
1 1 1 1
direct
0.0000 0.0000 0.0000 Lu
0.7500 0.7500 0.7500 Be
0.5000 0.5000 0.5000 Ge
0.2500 0.2500 0.2500 Ir
```

The density comes out at 11.87 Mg/m³. As for the space-group type: No. 216.

=====

(Q)
Compound: LuBeGeIr
Source: OQMD
Functional: PBE
Structure: optimized geometry

Geometry as POSCAR:
```
LuBeGeIr
1.0
0.0000 3.1908 3.1908
3.1908 0.0000 3.1908
3.1908 3.1908 0.0000
Lu Be Ge Ir
1 1 1 1
direct
0.0000 0.0000 0.0000 Lu
0.5000 0.5000 0.5000 Be
0.7500 0.7500 0.7500 Ge
0.2500 0.2500 0.2500 Ir
```

The density comes out at 11.47 Mg/m³. As for the space-group type: No. 216.

=====

(R)
Compound: LuBeGeIr
Source: OQMD
Functional: PBE
Structure: optimized geometry

Geometry as POSCAR:
```
LuBeGeIr
1.0
0.0000 3.1212 3.1212
3.1212 0.0000 3.1212
3.1212 3.1212 0.0000
Lu Be Ge Ir
1 1 1 1
direct
0.0000 0.0000 0.0000 Lu
0.7500 0.7500 0.7500 Be
0.2500 0.2500 0.2500 Ge
0.5000 0.5000 0.5000 Ir
```

The density comes out at 12.26 Mg/m³. As for the space-group type: No. 216.

=====

Least stable of them? (Q).

=====

(P)
Compound: ScBeGeIr
Source: OQMD
Functional: PBE
Structure: optimized geometry

Geometry as POSCAR:
```
ScBeGeIr
1.0
0.0000 3.0991 3.0991
3.0991 0.0000 3.0991
3.0991 3.0991 0.0000
Sc Be Ge Ir
1 1 1 1
direct
0.0000 0.0000 0.0000 Sc
0.5000 0.5000 0.5000 Be
0.7500 0.7500 0.7500 Ge
0.2500 0.2500 0.2500 Ir
```

The density comes out at 8.89 Mg/m³. As for the space-group type: No. 216.

=====

(Q)
Compound: ScBeGeIr
Source: OQMD
Functional: PBE
Structure: optimized geometry

Geometry as POSCAR:
```
ScBeGeIr
1.0
0.0000 3.0550 3.0550
3.0550 0.0000 3.0550
3.0550 3.0550 0.0000
Sc Be Ge Ir
1 1 1 1
direct
0.0000 0.0000 0.0000 Sc
0.7500 0.7500 0.7500 Be
0.2500 0.2500 0.2500 Ge
0.5000 0.5000 0.5000 Ir
```

The density comes out at 9.28 Mg/m³. As for the space-group type: No. 216.

=====

Least stable of them? (P).